Below is crystalline AcPrAu at its relaxed geometry, with properties calculated at the PBE level.

Lattice parameters (Å, degrees): 4.102 8.890 16.164 89.23 90.00 90.00
Atoms (fractional coordinates):
Ac: 0.750 0.654 0.085
Pr: 0.750 0.639 0.785
Ac: 0.250 0.468 0.610
Au: 0.250 0.226 0.389
Au: 0.750 0.291 0.751
Au: 0.250 0.716 0.928
Ac: 0.250 0.017 0.711
Pr: 0.750 0.971 0.911
Ac: 0.750 0.983 0.289
Pr: 0.250 0.029 0.089
Pr: 0.250 0.842 0.480
Au: 0.750 0.284 0.072
Pr: 0.250 0.361 0.215
Pr: 0.750 0.158 0.520
Ac: 0.750 0.532 0.390
Au: 0.750 0.774 0.611
Au: 0.250 0.709 0.249
Ac: 0.250 0.346 0.915

Computed properties:
Its energy above the most stable polymorph in this dataset is 0 meV per atom. For the electronic total energy, the calculation gives -82.32 eV/cell. Its formation energy is -50.0 kJ/mol of atoms. Its crystal system is monoclinic.